18
Lattice="-8.412 4.296 3.484 -0.513 -1.677 9.914 0.590 6.634 5.439" Properties=species:S:1:pos:R:3 comment="Sm5Dy3Sc (PBE, optimized geometry)" magmom_total_mub_per_fu=0.0 n_ef_per_ev_cell=22.6 e_form_ev_per_atom=0.5907 pbc="T T T"
Dy -5.154 6.922 12.763
Dy -6.253 4.142 11.530
Dy 0.295 3.317 2.720
Dy -3.181 2.331 6.075
Dy -2.082 5.111 7.307
Dy 0.000 0.000 0.000
Sm -2.543 -0.142 8.261
Sm -0.602 3.385 9.403
Sm -4.698 3.197 8.743
Sm -3.712 2.828 12.707
Sm -4.623 6.426 6.130
Sm -6.630 8.192 15.756
Sm -3.637 6.056 10.095
Sm -7.733 5.868 9.434
Sm -1.705 1.061 3.081
Sm -6.381 2.761 5.137
Sc -7.359 5.148 13.824
Sc -0.976 4.105 5.013